{"formula": "Na3Ni5O12", "functional": "PBE+U", "state": "optimized geometry", "lattice_angstrom": [[-6.0759, 6.0759, 6.0759], [6.0759, -6.0759, 6.0759], [6.0759, 6.0759, -6.0759]], "species": ["Na", "Na", "Na", "Na", "Na", "Na", "Na", "Na", "Na", "Na", "Na", "Na", "Ni", "Ni", "Ni", "Ni", "Ni", "Ni", "Ni", "Ni", "Ni", "Ni", "Ni", "Ni", "Ni", "Ni", "Ni", "Ni", "Ni", "Ni", "Ni", "Ni", "O", "O", "O", "O", "O", "O", "O", "O", "O", "O", "O", "O", "O", "O", "O", "O", "O", "O", "O", "O", "O", "O", "O", "O", "O", "O", "O", "O", "O", "O", "O", "O", "O", "O", "O", "O", "O", "O", "O", "O", "O", "O", "O", "O", "O", "O", "O", "O"], "frac_coords": [[0.1250, 0.2500, 0.3750], [0.1250, 0.3750, 0.7500], [0.2500, 0.3750, 0.1250], [0.2500, 0.8750, 0.6250], [0.3750, 0.1250, 0.2500], [0.3750, 0.7500, 0.1250], [0.6250, 0.2500, 0.8750], [0.6250, 0.8750, 0.7500], [0.7500, 0.1250, 0.3750], [0.7500, 0.6250, 0.8750], [0.8750, 0.6250, 0.2500], [0.8750, 0.7500, 0.6250], [0.0000, 0.0000, 0.0000], [0.0000, 0.0000, 0.5000], [0.0000, 0.5000, 0.0000], [0.0000, 0.5000, 0.5000], [0.1250, 0.7500, 0.8750], [0.1250, 0.8750, 0.2500], [0.2500, 0.1250, 0.8750], [0.2500, 0.6250, 0.3750], [0.3750, 0.2500, 0.6250], [0.3750, 0.6250, 0.7500], [0.5000, 0.0000, 0.0000], [0.5000, 0.0000, 0.5000], [0.5000, 0.5000, 0.0000], [0.5000, 0.5000, 0.5000], [0.6250, 0.3750, 0.2500], [0.6250, 0.7500, 0.3750], [0.7500, 0.3750, 0.6250], [0.7500, 0.8750, 0.1250], [0.8750, 0.1250, 0.7500], [0.8750, 0.2500, 0.1250], [0.0177, 0.1951, 0.1041], [0.0177, 0.3226, 0.9136], [0.0864, 0.6041, 0.4090], [0.0864, 0.9823, 0.6774], [0.0910, 0.6951, 0.6774], [0.0910, 0.8959, 0.4136], [0.1041, 0.0177, 0.1951], [0.1041, 0.5864, 0.9090], [0.1774, 0.1951, 0.5910], [0.1774, 0.4823, 0.5864], [0.1951, 0.1041, 0.0177], [0.1951, 0.5910, 0.1774], [0.3049, 0.3226, 0.9090], [0.3049, 0.4823, 0.3959], [0.3226, 0.9090, 0.3049], [0.3226, 0.9136, 0.0177], [0.3959, 0.3049, 0.4823], [0.3959, 0.5910, 0.9136], [0.4090, 0.0864, 0.6041], [0.4090, 0.8226, 0.8049], [0.4136, 0.0910, 0.8959], [0.4136, 0.8226, 0.5177], [0.4823, 0.3959, 0.3049], [0.4823, 0.5864, 0.1774], [0.5177, 0.4136, 0.8226], [0.5177, 0.6041, 0.6951], [0.5864, 0.1774, 0.4823], [0.5864, 0.9090, 0.1041], [0.5910, 0.1774, 0.1951], [0.5910, 0.9136, 0.3959], [0.6041, 0.4090, 0.0864], [0.6041, 0.6951, 0.5177], [0.6774, 0.0864, 0.9823], [0.6774, 0.0910, 0.6951], [0.6951, 0.5177, 0.6041], [0.6951, 0.6774, 0.0910], [0.8049, 0.4090, 0.8226], [0.8049, 0.8959, 0.9823], [0.8226, 0.5177, 0.4136], [0.8226, 0.8049, 0.4090], [0.8959, 0.4136, 0.0910], [0.8959, 0.9823, 0.8049], [0.9090, 0.1041, 0.5864], [0.9090, 0.3049, 0.3226], [0.9136, 0.0177, 0.3226], [0.9136, 0.3959, 0.5910], [0.9823, 0.6774, 0.0864], [0.9823, 0.8049, 0.8959]], "final_energy_ev_per_atom": -4.3198, "magnetic_moment_mub_per_cell": 52.051, "dos_ef_per_ev_cell": 32.14}